# BaPaTlSe4, relaxed, DFT PBE
# uncorrected energy = -5.29 eV per atom
data_BaPaTlSe4
_cell_length_a 5.502
_cell_length_b 5.502
_cell_length_c 16.405
_cell_angle_alpha 90.00
_cell_angle_beta 90.00
_cell_angle_gamma 90.00
_space_group_name_H-M_alt 'I 4 m m'
_space_group_IT_number 107
_space_group_name_Hall 'I 4 -2'
loop_
_atom_site_label
_atom_site_fract_x
_atom_site_fract_y
_atom_site_fract_z
Ba1 0.000 0.000 0.000
Pa1 0.000 0.000 0.641
Tl1 0.000 0.000 0.284
Se1 0.000 0.000 0.473
Se2 0.000 0.000 0.804
Se3 0.000 0.500 0.132